Li2B2RuO6: optimized geometry, PBE.

Cell lengths 4.8441, 4.8441, 5.9279 Å; angles 90.00, 90.00, 120.00 degrees
With the nearest neighbours (Å) after each atom.
Atoms (fractional coordinates):
Li 0.6667 0.3333 0.7110  3 O 1.92
Li 0.3333 0.6667 0.2890  3 O 1.92
Ru 0.0000 0.0000 0.0000  6 O 2.03
B 0.6667 0.3333 0.1932  3 O 1.38
B 0.3333 0.6667 0.8068  3 O 1.38
O 0.3046 0.3677 0.8008  1 B 1.38
O 0.9370 0.3046 0.1992  1 B 1.38
O 0.6954 0.6323 0.1992  1 B 1.38
O 0.0630 0.6954 0.8008  1 B 1.38
O 0.6323 0.9370 0.8008  1 B 1.38
O 0.3677 0.0630 0.1992  1 B 1.38

Output
total DFT energy (no corrections) = -0.256 Ha/atom
symmetry = No. 147
density = 3.2 Mg/m³
raw formation energy = -1.866 eV/atom